! GGA-PBE CeCoRu, optimized geometry; values from VASP
&SYSTEM
  ibrav = 0, nat = 12, ntyp = 3
/
ATOMIC_SPECIES
Ce 140.12 Ce.upf
Ru 101.07 Ru.upf
Co 58.93 Co.upf
CELL_PARAMETERS angstrom
-1.483 -0.977 3.564
6.656 -0.363 2.671
-0.335 7.039 1.791
ATOMIC_POSITIONS crystal
Ce 0.250 0.429 0.319
Ce 0.750 0.071 0.819
Ce 0.250 0.929 0.181
Ce 0.750 0.571 0.681
Ru 0.250 0.900 0.590
Ru 0.750 0.100 0.410
Ru 0.250 0.400 0.910
Ru 0.750 0.600 0.090
Co 0.750 0.738 0.425
Co 0.250 0.762 0.925
Co 0.750 0.238 0.075
Co 0.250 0.262 0.575
! ΔH_f (0 K)	-0.12	eV per atom
! polymorph energy (0 for the lowest one)	0.47	eV per formula unit
! total DFT energy (no corrections)	-90.71	eV for the cell shown